[1]
## TbHoSb2Te2 (PBE)

Data for a relaxed TbHoSb2Te2 crystal.

- Magnetization: 0.01 μB per formula unit

a = 4.2794 Å, b = 4.2794 Å, c = 9.2407 Å
α = 90.00°, β = 90.00°, γ = 90.00°
Space group P4mm (No. 99)
One atom of each set of equivalent atoms:
Tb (0.0000, 0.0000, 0.0000)
Ho (0.5000, 0.5000, 0.5499)
Sb (0.0000, 0.5000, 0.2756)
Te (0.0000, 0.0000, 0.6494)
Te (0.5000, 0.5000, 0.8976)

[2]
## Ho6TcSb2 (PBE)

Data for a relaxed Ho6TcSb2 crystal.

- Magnetization: 0.03 μB per formula unit

a = 8.1452 Å, b = 8.1452 Å, c = 4.2410 Å
α = 90.00°, β = 90.00°, γ = 120.00°
Space group P-62m (No. 189)
One atom of each set of equivalent atoms:
Ho (0.0000, 0.3965, 0.0000)
Ho (0.0000, 0.7636, 0.5000)
Tc (0.0000, 0.0000, 0.0000)
Sb (0.3333, 0.6667, 0.5000)

no.,DFT total energy (eV/cell)
1,-30.29
2,-51.61